(1)
Computed, not measured: a geometry-optimized NdB2C2 structure at the GGA-PBE level of DFT.

Raw total energy in eV/atom: -6.3301
ΔH_f (0 K) in kcal/mol of atoms: 22.69
Theoretical density in g/cm³: 4.45

abc: 3.690 3.690 6.004
angles: 90.00 90.00 120.00
Atoms (fractional coordinates):
C 0.667 0.333 0.772
B 0.667 0.333 0.536
Nd 0.000 0.000 0.000
B 0.333 0.667 0.464
C 0.333 0.667 0.228

(2)
Computed, not measured: a geometry-optimized YIn2H2 structure at the GGA-PBE level of DFT.

Raw total energy in eV/atom: -3.1688
Energy above the most stable polymorph in this dataset in meV per atom: 739.6
Theoretical density in g/cm³: 5.21

abc: 8.105 8.105 3.109
angles: 90.00 90.00 90.00
Atoms (fractional coordinates):
In 0.369 0.869 0.000
In 0.131 0.369 0.000
H 0.095 0.595 0.500
H 0.595 0.905 0.500
Y 0.500 0.500 0.000
H 0.405 0.095 0.500
H 0.905 0.405 0.500
In 0.869 0.631 0.000
Y 0.000 0.000 0.000
In 0.631 0.131 0.000